Version a
## PdSeF (GGA-PBE)

Data for PdSeF after structural relaxation.

The volume comes out at 16.4 Å³ per atom.

The structure belongs to space group Pbcm (No. 57); the cell edges are 5.868, 6.299 and 5.314 Å and the angles 90.00°, 90.00° and 90.00°. The distinct sites, in fractional coordinates, are Pd at (0.241, 0.059, 0.250), Se at (0.151, 0.064, 0.750) and F at (0.435, 0.738, 0.750).

=====

Version b
## PdSeF (GGA-PBE)

Data for PdSeF after structural relaxation.

The volume comes out at 19.8 Å³ per atom.

The structure belongs to space group C2/m (No. 12); the cell edges are 10.401, 3.180 and 7.202 Å and the angles 90.00°, 95.25° and 90.00°. The distinct sites, in fractional coordinates, are Pd at (0.000, 0.000, 0.000), Pd at (0.000, 0.500, 0.500), Se at (0.125, 0.000, 0.322) and F at (0.116, 0.500, 0.928).

=====

Version c
## PdSeF (GGA-PBE)

Data for PdSeF after structural relaxation.

The volume comes out at 17.6 Å³ per atom.

The structure belongs to space group P2_1/c (No. 14); the cell edges are 6.588, 5.402 and 6.330 Å and the angles 90.00°, 110.75° and 90.00°. The distinct sites, in fractional coordinates, are Pd at (0.241, 0.009, 0.236), Se at (0.371, 0.612, 0.136) and F at (0.090, 0.146, 0.876).

=====

Stability check: which of them is least stable? version b.